## Tl2CdBr2 (GGA-PBE)

Data for Tl2CdBr2 after structural relaxation.

extended XYZ file:
```
10
Lattice="8.973 0.000 0.000 0.000 8.973 0.000 0.000 0.000 4.300" Properties=species:S:1:pos:R:3 pbc="T T T"
Tl 3.161 7.647 0.000
Tl 7.647 5.812 0.000
Tl 5.812 1.325 0.000
Tl 1.325 3.161 0.000
Br 1.405 5.891 2.150
Br 5.891 7.568 2.150
Br 7.568 3.082 2.150
Br 3.082 1.405 2.150
Cd 0.000 0.000 0.000
Cd 4.486 4.486 0.000
```

Summary:
raw formation energy = -0.5488 eV/atom
distance to the lowest polymorph of the same formula = 0 meV per atom
size of the total moment = 0.00 μB per cell
space-group type = No. 127

=====

## TlCdBr2 (GGA-PBE)

Data for TlCdBr2 after structural relaxation.

extended XYZ file:
```
4
Lattice="-2.756 -2.646 -1.018 -0.370 -0.779 3.859 -5.381 5.386 0.570" Properties=species:S:1:pos:R:3 pbc="T T T"
Tl -5.599 2.327 1.848
Br -0.100 0.100 0.011
Br -2.591 2.593 0.275
Cd -2.909 -0.366 1.563
```

Summary:
raw formation energy = -0.4697 eV/atom
distance to the lowest polymorph of the same formula = 119 meV per atom
size of the total moment = 0.00 μB per cell
space-group type = No. 65

=====

## Tl2CdBr2 (GGA-PBE)

Data for Tl2CdBr2 after structural relaxation.

extended XYZ file:
```
5
Lattice="5.649 0.000 0.000 0.000 5.649 0.000 2.825 2.825 6.642" Properties=species:S:1:pos:R:3 pbc="T T T"
Tl 2.825 2.825 1.870
Tl 5.649 5.649 4.772
Br 5.649 2.825 3.321
Br 2.825 5.649 3.321
Cd 0.000 0.000 0.000
```

Summary:
raw formation energy = -0.4953 eV/atom
distance to the lowest polymorph of the same formula = 53 meV per atom
size of the total moment = 0.00 μB per cell
space-group type = No. 139

=====

## Tl2Cd2Br7 (GGA-PBE)

Data for Tl2Cd2Br7 after structural relaxation.

extended XYZ file:
```
11
Lattice="-3.838 -5.508 2.126 7.178 -3.945 -0.119 0.131 3.809 7.251" Properties=species:S:1:pos:R:3 pbc="T T T"
Tl 2.237 1.492 5.049
Tl 5.073 -1.628 2.083
Cd 0.207 -2.310 2.629
Cd 3.264 -3.334 6.629
Br 3.702 -5.752 5.687
Br 2.240 -2.612 0.986
Br -0.231 0.107 3.571
Br 1.231 -3.032 8.272
Br -1.919 -2.754 1.063
Br 3.358 -1.476 4.764
Br 0.114 -4.168 4.494
```

Summary:
raw formation energy = -0.7137 eV/atom
size of the total moment = 0.00 μB per cell
space-group type = No. 12

=====

## TlCdBr2 (GGA-PBE)

Data for TlCdBr2 after structural relaxation.

extended XYZ file:
```
8
Lattice="5.657 0.000 -1.387 -0.459 5.488 -1.872 -0.733 0.052 9.240" Properties=species:S:1:pos:R:3 pbc="T T T"
Tl 2.229 5.072 2.803
Tl -0.370 2.328 4.432
Cd -0.234 5.046 -1.124
Cd -0.004 2.302 -0.188
Br 0.329 0.220 7.132
Br 4.586 4.435 0.345
Br 2.059 1.691 1.957
Br 2.857 2.964 5.521
```

Summary:
raw formation energy = -0.5336 eV/atom
distance to the lowest polymorph of the same formula = 55 meV per atom
size of the total moment = 0.00 μB per cell
space-group type = No. 15

=====

## TlCd2Br8 (GGA-PBE)

Data for TlCd2Br8 after structural relaxation.

extended XYZ file:
```
11
Lattice="6.857 -0.030 -0.916 -0.420 7.118 -3.380 -0.108 -0.285 8.625" Properties=species:S:1:pos:R:3 pbc="T T T"
Tl 0.000 0.000 0.000
Cd 3.099 5.722 2.456
Cd 3.229 1.080 1.873
Br 1.704 2.186 -0.080
Br 4.840 0.955 6.148
Br 0.532 5.710 2.748
Br 5.797 1.093 1.581
Br 1.488 5.847 -1.819
Br 4.624 4.616 4.410
Br 3.860 4.687 0.181
Br 2.469 2.116 4.148
```

Summary:
raw formation energy = -0.5196 eV/atom
size of the total moment = 0.00 μB per cell
space-group type = No. 12

=====

## TlCdBr2 (GGA-PBE)

Data for TlCdBr2 after structural relaxation.

extended XYZ file:
```
4
Lattice="-3.138 4.594 1.254 -3.661 -1.351 -4.148 1.371 -3.024 4.633" Properties=species:S:1:pos:R:3 pbc="T T T"
Tl -2.845 -1.377 -0.481
Br -6.601 3.147 -2.810
Br -2.227 -1.306 3.102
Cd -2.583 1.596 2.220
```

Summary:
raw formation energy = -0.4926 eV/atom
distance to the lowest polymorph of the same formula = 96 meV per atom
size of the total moment = 0.00 μB per cell
space-group type = No. 71

=====

## Tl2CdBr4 (GGA-PBE)

Data for Tl2CdBr4 after structural relaxation.

extended XYZ file:
```
14
Lattice="7.446 0.000 -2.348 0.000 7.779 0.000 -0.042 0.000 9.107" Properties=species:S:1:pos:R:3 pbc="T T T"
Tl 5.377 5.834 -1.162
Tl 2.027 1.945 7.921
Tl 1.896 1.945 3.416
Tl 5.508 5.834 3.344
Br 3.672 3.841 1.189
Br 0.423 5.834 8.103
Br 6.981 1.945 -1.344
Br 3.672 0.049 1.189
Br 6.932 1.945 3.413
Br 3.732 7.730 5.570
Br 3.732 3.938 5.570
Br 0.472 5.834 3.347
Cd 1.919 5.834 1.172
Cd 5.485 1.945 5.587
```

Summary:
raw formation energy = -0.8517 eV/atom
distance to the lowest polymorph of the same formula = 0 meV per atom
size of the total moment = 0.00 μB per cell
space-group type = No. 11

=====

Copy entry 2 word for word.
## TlCdBr2 (GGA-PBE)

Data for TlCdBr2 after structural relaxation.

extended XYZ file:
```
4
Lattice="-2.756 -2.646 -1.018 -0.370 -0.779 3.859 -5.381 5.386 0.570" Properties=species:S:1:pos:R:3 pbc="T T T"
Tl -5.599 2.327 1.848
Br -0.100 0.100 0.011
Br -2.591 2.593 0.275
Cd -2.909 -0.366 1.563
```

Summary:
raw formation energy = -0.4697 eV/atom
distance to the lowest polymorph of the same formula = 119 meV per atom
size of the total moment = 0.00 μB per cell
space-group type = No. 65